VASP calculation (PBE) on a relaxed structure of Ac6MgSn5.

```
Ac6MgSn5
1.0
5.706 1.763 0.000
3.458 9.073 0.000
1.729 4.537 9.042
Ac Sn Mg
6 5 1
direct
0.257 0.571 0.343
0.743 0.429 0.657
0.234 0.267 0.000
0.257 0.914 0.657
0.766 0.733 0.000
0.743 0.086 0.343
0.500 0.844 0.312
0.000 0.669 0.662
0.000 0.331 0.338
0.500 0.500 0.000
0.500 0.156 0.688
0.000 0.000 0.000
```

Values from the calculation:
Magnetic moment in μB/atom: 0.000
Uncorrected energy in eV/atom: -4.39
Energy of formation from the pure elements in meV per atom: -535